# 1
The following is a GGA-PBE calculation of crystalline SrPm2Tl4 at its relaxed geometry, from Alexandria.

a = 5.4224 Å, b = 5.4224 Å, c = 16.2061 Å
α = 90.00°, β = 90.00°, γ = 90.00°
With the nearest neighbours (Å) after each atom.
Element x y z (fractional)
Sr1 0.0000 0.0000 0.0000  8 Tl 3.44
Sr2 0.5000 0.5000 0.5000  8 Tl 3.44
Pm1 0.0000 0.0000 0.2503  8 Tl 3.33
Pm2 0.0000 0.0000 0.7497  8 Tl 3.33
Pm3 0.5000 0.5000 0.2497  8 Tl 3.33
Pm4 0.5000 0.5000 0.7503  8 Tl 3.33
Tl1 0.0000 0.5000 0.1306  4 Pm 3.33, 2 Sr 3.44
Tl2 0.0000 0.5000 0.3694  4 Pm 3.33, 2 Sr 3.44
Tl3 0.0000 0.5000 0.6306  4 Pm 3.33, 2 Sr 3.44
Tl4 0.0000 0.5000 0.8694  4 Pm 3.33, 2 Sr 3.44
Tl5 0.5000 0.0000 0.1306  4 Pm 3.33, 2 Sr 3.44
Tl6 0.5000 0.0000 0.3694  4 Pm 3.33, 2 Sr 3.44
Tl7 0.5000 0.0000 0.6306  4 Pm 3.33, 2 Sr 3.44
Tl8 0.5000 0.0000 0.8694  4 Pm 3.33, 2 Sr 3.44

**E**: -3.177 eV/atom
**Space-group type**: I4/mmm

=====

# 2
The following is a GGA-PBE calculation of crystalline Sb2WAu at its relaxed geometry, from Alexandria.

a = 9.2620 Å, b = 3.3358 Å, c = 5.4854 Å
α = 90.00°, β = 98.29°, γ = 90.00°
With the nearest neighbours (Å) after each atom.
Element x y z (fractional)
Sb1 0.2264 0.0000 0.2237  1 Au 2.76, 3 W 2.82-2.97, 2 Sb 3.05
Sb2 0.2736 0.5000 0.7763  1 Au 2.76, 3 W 2.82-2.97, 2 Sb 3.05
Sb3 0.7264 0.5000 0.2237  1 Au 2.76, 3 W 2.82-2.97, 2 Sb 3.05
Sb4 0.7736 0.0000 0.7763  1 Au 2.76, 3 W 2.82-2.97, 2 Sb 3.05
W1 0.0000 0.5000 0.0000  6 Sb 2.82-2.97
W2 0.5000 0.0000 0.0000  6 Sb 2.82-2.97
Au1 0.0000 0.0000 0.5000  2 Sb 2.76
Au2 0.5000 0.5000 0.5000  2 Sb 2.76

**Energy relative to the elements, uncorrected**: 12.06 kcal/mol of atoms
**Offset from the most stable computed form**: 193.5 meV per atom
**Space-group type**: C2/m

=====

| no. | total magnetization (μB/f.u.) | volume (A^3/atom) |
| --- | --- | --- |
| 1 | 0.00 | 34.04 |
| 2 | 0.00 | 20.96 |